A relaxed structure of CaPWO2, computed with PBE with a Hubbard U.

Calculated values
- excess energy over the best structure of this formula in the dataset (eV/atom) = 1.606
- total moment (μB per formula unit) = 3.9
- crystal system = tetragonal
- final energy (eV per formula unit) = -23.7

a b c (Å): 4.120 4.120 5.640
angles (deg): 90.00 90.00 90.00
Positions (direct):
Ca (0.000, 0.000, 0.000)
P (0.000, 0.000, 0.500)
W (0.500, 0.500, 0.500)
O (0.000, 0.500, 0.000)
O (0.500, 0.000, 0.000)